1.
# LaGeRu

A geometry-optimized LaGeRu structure (GGA-PBE, Alexandria).

a b c (Å): 4.354 8.453 7.278
angles (deg): 90.00 90.00 90.00
Sites, in units of the cell vectors:
La 0.000 0.000 0.000
La 0.000 0.500 0.023
La 0.500 0.000 0.523
La 0.500 0.500 0.500
Ge 0.000 0.256 0.672
Ge 0.000 0.744 0.672
Ge 0.500 0.244 0.172
Ge 0.500 0.756 0.172
Ru 0.000 0.209 0.334
Ru 0.000 0.791 0.334
Ru 0.500 0.291 0.834
Ru 0.500 0.709 0.834

Final energy (eV per atom): -6.82
Space-group type: No. 44
E_form (eV/atom): -0.548

2.
# La3TmBi2

A geometry-optimized La3TmBi2 structure (GGA-PBE, Alexandria).

a b c (Å): 9.283 9.283 9.283
angles (deg): 134.14 73.45 126.05
Sites, in units of the cell vectors:
La 0.053 0.750 0.303
La 0.250 0.250 0.000
La 0.447 0.750 0.697
La 0.553 0.250 0.303
La 0.750 0.750 0.000
La 0.947 0.250 0.697
Tm 0.000 0.500 0.500
Tm 0.500 0.000 0.500
Bi 0.147 0.165 0.312
Bi 0.353 0.665 0.018
Bi 0.647 0.335 0.982
Bi 0.853 0.835 0.688

Final energy (eV per atom): -4.96
Space-group type: No. 72
E_form (eV/atom): -0.458